The following is a DFT calculation (PBE-GGA) of a relaxed structure of Ca3OsBr2O6.

Cell and atoms, written as POSCAR:
```
Ca3OsBr2O6
1.0
5.7351 -3.3023 0.0000
5.7351 3.3023 0.0000
-0.9195 0.0000 5.8888
Ca Os Br O
3 1 2 6
Cartesian
0.0000 0.0000 0.0000
2.4078 1.6512 2.9444
2.4078 -1.6512 2.9444
5.2754 0.0000 2.9444
1.7186 0.0000 5.1034
8.8322 0.0000 0.7854
4.5696 1.3650 4.0553
5.9811 1.3650 1.8335
3.6275 0.0000 2.0261
6.9233 0.0000 3.8627
4.5696 -1.3650 4.0553
5.9811 -1.3650 1.8335
```

Results
E   -0.218 Ha/atom
Uncorrected formation energy   -20.87 eV per formula unit
Crystal system   monoclinic